In2FeRe, relaxed, DFT PBE; polymorph energy (0 for the lowest one) = 258.0 meV per atom; symmetry = I4/mmm, No. 139
1.0
-2.032 2.032 4.229
2.032 -2.032 4.229
2.032 2.032 -4.229
In Fe Re
2 1 1
direct
0.250 0.750 0.500
0.750 0.250 0.500
0.000 0.000 0.000
0.500 0.500 0.000

***

InFeRe2, relaxed, DFT PBE; DFT total energy = -34.61 eV for the cell shown; symmetry = C2/m, No. 12
1.0
4.973 -1.415 0.000
4.973 1.415 0.000
-1.364 0.000 4.393
In Fe Re
1 1 2
direct
0.000 0.000 0.000
0.500 0.500 0.500
0.222 0.222 0.722
0.778 0.778 0.278

***

In2FeRe, relaxed, DFT PBE; polymorph energy (0 for the lowest one) = 216.6 meV per atom; symmetry = Amm2, No. 38
1.0
4.229 0.000 0.000
0.000 1.581 5.272
0.000 -1.581 5.272
In Fe Re
2 1 1
direct
0.000 0.000 0.000
0.500 0.339 0.339
0.000 0.721 0.721
0.500 0.616 0.616

***

In2FeRe, relaxed, DFT PBE; polymorph energy (0 for the lowest one) = 285.2 meV per atom; symmetry = C2/m, No. 12
1.0
4.651 -1.449 0.000
4.651 1.449 0.000
-0.984 0.000 5.170
In Fe Re
2 1 1
direct
0.247 0.247 0.246
0.753 0.753 0.754
0.500 0.500 0.000
0.000 0.000 0.500

***

InFe2Re, relaxed, DFT PBE; DFT total energy = -30.55 eV for the cell shown; symmetry = R-3m, No. 166
1.0
1.406 0.812 8.682
-1.406 0.812 8.682
0.000 -1.624 8.682
In Fe Re
1 2 1
direct
0.000 0.000 0.000
0.245 0.245 0.245
0.755 0.755 0.755
0.500 0.500 0.500

***

InFeRe2, relaxed, DFT PBE; DFT total energy = -33.41 eV for the cell shown; symmetry = P4/mmm, No. 123
1.0
4.357 0.000 0.000
0.000 4.357 0.000
0.000 0.000 3.263
In Fe Re
1 1 2
direct
0.000 0.000 0.000
0.500 0.500 0.000
0.000 0.500 0.500
0.500 0.000 0.500

***

InFe2Re, relaxed, DFT PBE; DFT total energy = -30.44 eV for the cell shown; symmetry = R3m, No. 160
1.0
1.426 0.823 8.605
-1.426 0.823 8.605
0.000 -1.646 8.605
In Fe Re
1 2 1
direct
0.000 0.000 0.000
0.495 0.495 0.495
0.756 0.756 0.756
0.238 0.238 0.238

***

In2FeRe, relaxed, DFT PBE; polymorph energy (0 for the lowest one) = 292.3 meV per atom; symmetry = Pmmm, No. 47
1.0
3.359 0.000 0.000
0.000 3.369 0.000
0.000 0.000 6.030
In Fe Re
2 1 1
direct
0.000 0.000 0.245
0.000 0.000 0.755
0.500 0.500 0.000
0.500 0.500 0.500

***

InFeRe2, relaxed, DFT PBE; DFT total energy = -34.78 eV for the cell shown; symmetry = R3m, No. 160
1.0
1.419 0.819 9.011
-1.419 0.819 9.011
0.000 -1.638 9.011
In Fe Re
1 1 2
direct
0.000 0.000 0.000
0.751 0.751 0.751
0.241 0.241 0.241
0.497 0.497 0.497

***

InFe2Re, relaxed, DFT PBE; DFT total energy = -30.81 eV for the cell shown; symmetry = Pmm2, No. 25
1.0
2.827 0.000 0.000
0.000 3.514 0.000
0.000 0.000 5.945
In Fe Re
1 2 1
direct
0.000 0.000 0.000
0.000 0.000 0.518
0.500 0.500 0.725
0.500 0.500 0.319

***

InFeRe2, relaxed, DFT PBE; DFT total energy = -33.83 eV for the cell shown; symmetry = P4/mmm, No. 123
1.0
3.829 0.000 0.000
0.000 3.829 0.000
0.000 0.000 4.225
In Fe Re
1 1 2
direct
0.000 0.000 0.000
0.500 0.500 0.000
0.000 0.500 0.500
0.500 0.000 0.500

***

InFe2Re, relaxed, DFT PBE; DFT total energy = -30.46 eV for the cell shown; symmetry = Cmm2, No. 35
1.0
1.572 -2.242 0.000
1.572 2.242 0.000
0.000 0.000 8.573
In Fe Re
1 2 1
direct
0.000 0.000 0.000
0.000 0.000 0.481
0.500 0.500 0.264
0.500 0.500 0.716

***

InFeRe2, relaxed, DFT PBE; DFT total energy = -65.46 eV for the cell shown; symmetry = I-42d, No. 122
1.0
-3.649 3.649 2.514
3.649 -3.649 2.514
3.649 3.649 -2.514
In Fe Re
2 2 4
direct
0.000 0.000 0.000
0.750 0.250 0.500
0.250 0.750 0.500
0.500 0.500 0.000
0.190 0.625 0.065
0.375 0.440 0.565
0.560 0.125 0.935
0.875 0.810 0.435

***

InFe3Re, relaxed, DFT PBE; polymorph energy (0 for the lowest one) = 1351.1 meV per atom; symmetry = Pm-3m, No. 221
1.0
4.450 0.000 0.000
0.000 4.450 0.000
0.000 0.000 4.450
In Fe Re
1 3 1
direct
0.000 0.000 0.000
0.000 0.000 0.500
0.000 0.500 0.000
0.500 0.000 0.000
0.500 0.500 0.500

***

In2FeRe2, relaxed, DFT PBE; polymorph energy (0 for the lowest one) = 0.0 meV per atom; symmetry = P4/mbm, No. 127
1.0
6.439 0.000 0.000
0.000 6.439 0.000
0.000 0.000 4.415
In Fe Re
4 2 4
direct
0.175 0.325 0.000
0.325 0.825 0.000
0.675 0.175 0.000
0.825 0.675 0.000
0.000 0.000 0.500
0.500 0.500 0.500
0.133 0.633 0.500
0.367 0.133 0.500
0.633 0.867 0.500
0.867 0.367 0.500

***

In2FeRe, relaxed, DFT PBE; polymorph energy (0 for the lowest one) = 0.0 meV per atom; symmetry = P4mm, No. 99
1.0
2.945 0.000 0.000
0.000 2.945 0.000
0.000 0.000 8.303
In Fe Re
2 1 1
direct
0.000 0.000 0.000
0.500 0.500 0.348
0.500 0.500 0.769
0.000 0.000 0.605

***

In4FeRe, relaxed, DFT PBE; DFT total energy = -25.10 eV for the cell shown; symmetry = F-43m, No. 216
1.0
0.000 3.968 3.968
3.968 0.000 3.968
3.968 3.968 0.000
In Fe Re
4 1 1
direct
0.125 0.125 0.125
0.125 0.125 0.625
0.125 0.625 0.125
0.625 0.125 0.125
0.500 0.500 0.500
0.750 0.750 0.750

***

In2FeRe, relaxed, DFT PBE; polymorph energy (0 for the lowest one) = 113.4 meV per atom; symmetry = R3m, No. 160
1.0
1.511 0.872 9.109
-1.511 0.872 9.109
0.000 -1.744 9.109
In Fe Re
2 1 1
direct
0.000 0.000 0.000
0.234 0.234 0.234
0.486 0.486 0.486
0.754 0.754 0.754

***

InFeRe2, relaxed, DFT PBE; DFT total energy = -34.35 eV for the cell shown; symmetry = Cm, No. 8
1.0
4.573 -1.470 0.000
4.573 1.470 0.000
-1.074 0.000 4.673
In Fe Re
1 1 2
direct
0.000 0.000 0.000
0.244 0.244 0.751
0.508 0.508 0.506
0.765 0.765 0.320

***

InFeRe2, relaxed, DFT PBE; DFT total energy = -34.32 eV for the cell shown; symmetry = R-3m, No. 166
1.0
1.406 0.812 9.023
-1.406 0.812 9.023
0.000 -1.623 9.023
In Fe Re
1 1 2
direct
0.000 0.000 0.000
0.500 0.500 0.500
0.241 0.241 0.241
0.759 0.759 0.759

***

InFeRe2, relaxed, DFT PBE; DFT total energy = -34.15 eV for the cell shown; symmetry = P2/m, No. 10
1.0
4.731 0.000 0.000
0.000 2.854 0.000
-1.531 0.000 4.600
In Fe Re
1 1 2
direct
0.000 0.000 0.000
0.500 0.500 0.000
0.000 0.500 0.500
0.500 0.000 0.500

***

InFe3Re, relaxed, DFT PBE; polymorph energy (0 for the lowest one) = 0.0 meV per atom; symmetry = Pm-3m, No. 221
1.0
4.543 0.000 0.000
0.000 4.543 0.000
0.000 0.000 4.543
In Fe Re
1 3 1
direct
0.000 0.000 0.000
0.000 0.500 0.500
0.500 0.000 0.500
0.500 0.500 0.000
0.500 0.500 0.500

***

In2FeRe, relaxed, DFT PBE; polymorph energy (0 for the lowest one) = 252.5 meV per atom; symmetry = R-3m, No. 166
1.0
1.492 0.862 8.994
-1.492 0.862 8.994
0.000 -1.723 8.994
In Fe Re
2 1 1
direct
0.248 0.248 0.248
0.752 0.752 0.752
0.500 0.500 0.500
0.000 0.000 0.000

***

InFeRe2, relaxed, DFT PBE; DFT total energy = -34.27 eV for the cell shown; symmetry = Pmmm, No. 47
1.0
2.807 0.000 0.000
0.000 3.821 0.000
0.000 0.000 5.917
In Fe Re
1 1 2
direct
0.000 0.000 0.000
0.000 0.000 0.500
0.500 0.500 0.297
0.500 0.500 0.703

***

InFe2Re, relaxed, DFT PBE; DFT total energy = -30.77 eV for the cell shown; symmetry = Imm2, No. 44
1.0
-1.480 2.220 4.431
1.480 -2.220 4.431
1.480 2.220 -4.431
In Fe Re
1 2 1
direct
0.000 0.000 0.000
0.520 0.520 0.000
0.741 0.241 0.500
0.276 0.776 0.500

***

InFeRe2, relaxed, DFT PBE; DFT total energy = -34.58 eV for the cell shown; symmetry = Immm, No. 71
1.0
-1.404 2.244 4.949
1.404 -2.244 4.949
1.404 2.244 -4.949
In Fe Re
1 1 2
direct
0.000 0.000 0.000
0.500 0.500 0.000
0.286 0.786 0.500
0.714 0.214 0.500

***

InFeRe2, relaxed, DFT PBE; DFT total energy = -33.64 eV for the cell shown; symmetry = Cmmm, No. 65
1.0
2.647 -4.139 0.000
2.647 4.139 0.000
0.000 0.000 2.845
In Fe Re
1 1 2
direct
0.000 0.000 0.000
0.500 0.500 0.000
0.000 0.500 0.500
0.500 0.000 0.500

***

In2FeRe, relaxed, DFT PBE; polymorph energy (0 for the lowest one) = 294.5 meV per atom; symmetry = P4/mmm, No. 123
1.0
2.891 0.000 0.000
0.000 2.891 0.000
0.000 0.000 8.228
In Fe Re
2 1 1
direct
0.000 0.000 0.241
0.000 0.000 0.759
0.500 0.500 0.000
0.500 0.500 0.500

***

InFe2Re, relaxed, DFT PBE; DFT total energy = -31.09 eV for the cell shown; symmetry = P4mm, No. 99
1.0
2.887 0.000 0.000
0.000 2.887 0.000
0.000 0.000 7.051
In Fe Re
1 2 1
direct
0.000 0.000 0.000
0.000 0.000 0.522
0.500 0.500 0.721
0.500 0.500 0.310

***

InFeRe2, relaxed, DFT PBE; DFT total energy = -34.72 eV for the cell shown; symmetry = Pm, No. 6
1.0
2.869 0.000 0.000
0.000 3.872 0.000
-0.008 0.000 5.723
In Fe Re
1 1 2
direct
0.000 0.000 0.000
0.501 0.500 0.742
0.512 0.500 0.306
0.969 0.000 0.506